Record 1
Computed, not measured: a relaxed Na2HoH6 crystal at the GGA-PBE level of DFT.

* SG: Fm-3m
* electronic total energy: -2.801 eV/atom

```
Na2HoH6
1.0
-5.584 0.466 0.082
-3.167 -3.784 -2.656
-3.073 -3.645 2.946
H Na Ho
6 2 1
direct
0.734 0.266 0.734
0.266 0.734 0.734
0.734 0.734 0.266
0.734 0.266 0.266
0.266 0.734 0.266
0.266 0.266 0.734
0.250 0.250 0.250
0.750 0.750 0.750
0.000 0.000 0.000
```

Record 2
Computed, not measured: a relaxed Ho2NbH crystal at the GGA-PBE level of DFT.

* SG: R-3m
* electronic total energy: -5.318 eV/atom

```
Ho2NbH
1.0
-2.913 -1.320 -0.096
-0.553 -2.518 -1.894
1.084 -6.696 5.883
Nb Ho H
1 2 1
direct
0.000 0.000 0.000
0.112 0.112 0.665
0.888 0.888 0.335
0.500 0.500 0.500
```

Record 3
Computed, not measured: a relaxed HoNbH3 crystal at the GGA-PBE level of DFT.

* SG: Pm-3m
* electronic total energy: -5.258 eV/atom

```
HoNbH3
1.0
3.769 0.000 0.000
0.000 3.769 0.000
0.000 0.000 3.769
H Nb Ho
3 1 1
direct
0.000 0.500 0.000
0.500 0.000 0.000
0.000 0.000 0.500
0.000 0.000 0.000
0.500 0.500 0.500
```